[1]
Material: HfCoSiAu
Method: DFT, PBE
State: relaxed

Results
offset from the most stable computed form: 17.8 meV per atom
total DFT energy (no corrections): -26.4 eV per cell

The structure in POSCAR format:
```
HfCoSiAu
1.0
0.000 3.143 3.143
3.143 0.000 3.143
3.143 3.143 0.000
Au Co Hf Si
1 1 1 1
Cartesian
1.572 1.572 1.572
4.715 4.715 4.715
3.143 3.143 3.143
0.000 0.000 0.000
```

=====

[2]
Material: Ba2ZnPb2Au
Method: DFT, PBE
State: relaxed

Results
total DFT energy (no corrections): -18.7 eV per cell

The structure in POSCAR format:
```
Ba2ZnPb2Au
1.0
4.898 0.000 0.000
-2.449 4.241 0.000
0.000 0.000 9.926
Au Ba Pb Zn
1 2 2 1
Cartesian
0.000 2.828 0.000
2.449 1.414 2.421
2.449 1.414 7.505
0.000 0.000 0.000
0.000 2.828 4.963
0.000 0.000 4.963
```

=====

[3]
Material: LaGdIn2Pt4
Method: DFT, PBE
State: relaxed

Results
total DFT energy (no corrections): -46.8 eV per cell

The structure in POSCAR format:
```
LaGdIn2Pt4
1.0
4.632 0.000 0.000
-2.316 4.011 0.000
0.000 0.000 9.289
Gd In La Pt
1 2 1 4
Cartesian
0.000 0.000 0.000
2.316 1.337 2.268
2.316 1.337 7.021
0.000 2.674 4.644
0.000 2.674 1.442
0.000 0.000 3.077
0.000 0.000 6.211
0.000 2.674 7.847
```

=====

[4]
Material: HoAlGe
Method: DFT, PBE
State: relaxed

Results
total DFT energy (no corrections): -29.8 eV per cell

The structure in POSCAR format:
```
HoAlGe
1.0
2.029 -5.202 0.000
2.029 5.202 0.000
0.000 0.000 5.760
Al Ge Ho
2 2 2
Cartesian
0.000 0.000 0.000
0.000 0.000 2.880
2.029 1.104 1.440
2.029 -1.104 4.320
2.029 -1.977 1.440
2.029 1.977 4.320
```

=====

[5]
Material: ScInNiSe3
Method: DFT, PBE
State: relaxed

Results
offset from the most stable computed form: 2.7 meV per atom
total DFT energy (no corrections): -60.3 eV per cell

The structure in POSCAR format:
```
ScInNiSe3
1.0
1.876 -7.123 0.000
1.876 7.123 0.000
0.000 0.000 9.994
In Ni Sc Se
2 2 2 6
Cartesian
1.876 -3.490 2.499
1.876 3.490 7.496
1.876 6.787 2.499
1.876 -6.787 7.496
1.876 0.000 0.000
1.876 0.000 4.997
1.876 5.261 0.666
1.876 1.108 2.499
1.876 5.261 4.331
1.876 -5.261 5.663
1.876 -1.108 7.496
1.876 -5.261 9.328
```

=====

[6]
Material: NdW
Method: DFT, PBE
State: relaxed

Results
energy of formation from the pure elements: 2806 meV/atom
offset from the most stable computed form: 1755.3 meV per atom
total DFT energy (no corrections): -12.1 eV per cell

The structure in POSCAR format:
```
NdW
1.0
0.000 3.320 3.320
3.320 0.000 3.320
3.320 3.320 0.000
Nd W
1 1
Cartesian
0.000 0.000 0.000
1.660 1.660 1.660
```

=====

[7]
Material: La3Si4Ni2Au2
Method: DFT, PBE
State: relaxed

Results
total DFT energy (no corrections): -62.1 eV per cell

The structure in POSCAR format:
```
La3Si4Ni2Au2
1.0
-2.099 2.173 12.185
2.099 -2.173 12.185
2.099 2.173 -12.185
Au La Ni Si
2 3 2 4
Cartesian
0.000 0.000 6.068
0.000 0.000 18.302
0.000 0.000 0.000
0.000 2.173 8.680
2.099 0.000 3.505
0.000 2.173 2.282
2.099 0.000 9.903
0.000 0.000 10.957
0.000 0.000 13.413
0.000 2.173 4.556
2.099 0.000 7.629
```

=====

[8]
Material: Mg2CoH5
Method: DFT, PBE
State: relaxed

Results
total DFT energy (no corrections): -58.4 eV per cell

The structure in POSCAR format:
```
Mg2CoH5
1.0
4.392 0.000 0.000
0.000 4.392 0.000
0.000 0.000 6.497
Co H Mg
2 10 4
Cartesian
1.098 1.098 1.669
3.294 3.294 4.828
0.021 0.021 1.483
2.175 0.021 1.483
0.021 2.175 1.483
2.175 2.175 1.483
1.098 1.098 3.235
3.294 3.294 3.261
2.217 2.217 5.014
4.371 2.217 5.014
2.217 4.371 5.014
4.371 4.371 5.014
3.294 1.098 0.000
1.098 3.294 0.000
3.294 1.098 3.248
1.098 3.294 3.248
```

=====

[9]
Material: BaCu2PbSe4
Method: DFT, PBE
State: relaxed

Results
total DFT energy (no corrections): -31.9 eV per cell

The structure in POSCAR format:
```
BaCu2PbSe4
1.0
2.475 -4.793 3.999
2.399 5.532 2.954
-6.657 -0.735 -0.479
Ba Cu Pb Se
1 2 1 4
Cartesian
0.000 0.000 0.000
-1.300 -2.644 2.889
-0.483 2.648 3.585
2.437 0.369 3.476
3.111 2.674 4.714
-0.263 0.348 3.417
-3.343 -0.621 0.455
-3.070 -2.394 4.361
```

=====

[10]
Material: ScNbSi2
Method: DFT, PBE
State: relaxed

Results
total DFT energy (no corrections): -26.8 eV per cell

The structure in POSCAR format:
```
ScNbSi2
1.0
2.260 1.305 3.691
-2.260 1.305 3.691
0.000 -2.610 3.691
Nb Sc Si
1 1 2
Cartesian
0.000 0.000 8.305
0.000 0.000 0.000
0.000 0.000 2.768
0.000 0.000 5.537
```

=====

[11]
Material: SrAsOs
Method: DFT, PBE
State: relaxed

Results
total DFT energy (no corrections): -16.0 eV per cell

The structure in POSCAR format:
```
SrAsOs
1.0
3.043 -2.051 2.811
-1.275 -3.673 2.500
1.649 -4.191 -1.042
As Os Sr
1 1 1
Cartesian
0.000 0.000 0.000
0.854 -2.479 1.067
2.563 -7.437 3.202
```

=====

[12]
Material: Cs2FePdCl6
Method: DFT, PBE
State: relaxed

Results
total DFT energy (no corrections): -37.9 eV per cell

The structure in POSCAR format:
```
Cs2FePdCl6
1.0
0.044 -3.447 6.593
1.935 5.966 4.002
-5.789 -0.123 -4.672
Cl Cs Fe Pd
6 2 1 1
Cartesian
0.503 -1.157 5.963
0.581 0.740 3.114
1.397 1.779 7.482
1.475 3.676 4.633
-2.335 0.553 0.304
-1.476 1.843 5.619
-2.378 -1.155 3.609
-1.433 3.551 2.314
0.989 1.259 5.298
0.000 0.000 0.000
```

=====

[13]
Material: ReBOs2
Method: DFT, PBE
State: relaxed

Results
total DFT energy (no corrections): -38.3 eV per cell

The structure in POSCAR format:
```
ReBOs2
1.0
0.000 2.974 2.974
2.974 0.000 2.974
2.974 2.974 0.000
B Os Re
1 2 1
Cartesian
2.974 2.974 2.974
0.000 0.000 0.000
4.461 4.461 4.461
1.487 1.487 1.487
```

=====

[14]
Material: NbFeSb
Method: DFT, PBE
State: relaxed

Results
total DFT energy (no corrections): -45.0 eV per cell

The structure in POSCAR format:
```
NbFeSb
1.0
-2.119 3.626 1.597
-1.708 -2.240 -3.500
-2.940 -3.273 3.530
Fe Nb Sb
2 2 2
Cartesian
-2.580 -1.103 -0.919
-4.187 -0.784 2.545
0.000 0.000 0.000
-1.470 -1.636 1.765
-2.717 0.852 0.780
-4.050 -2.739 0.846
```

=====

[15]
Material: LiWSe
Method: DFT, PBE
State: relaxed

Results
total DFT energy (no corrections): -36.9 eV per cell

The structure in POSCAR format:
```
LiWSe
1.0
3.995 0.000 0.000
0.000 3.995 0.000
0.000 0.000 6.528
Li Se W
2 2 2
Cartesian
0.000 1.998 2.203
1.998 0.000 4.325
1.998 0.000 1.686
0.000 1.998 4.842
0.000 0.000 0.000
1.998 1.998 0.000
```

=====

[16]
Material: HfTlFeHg
Method: DFT, PBE
State: relaxed

Results
offset from the most stable computed form: 0.0 meV per atom
total DFT energy (no corrections): -19.4 eV per cell

The structure in POSCAR format:
```
HfTlFeHg
1.0
-2.466 -3.247 2.384
-1.636 0.980 4.321
-4.634 0.593 0.693
Fe Hf Hg Tl
1 1 1 1
Cartesian
-6.552 -1.256 5.548
-2.184 -0.419 1.849
-4.368 -0.837 3.699
0.000 0.000 0.000
```

=====

[17]
Material: Sr2HfTcN6
Method: DFT, PBE
State: relaxed

Results
total DFT energy (no corrections): -76.8 eV per cell

The structure in POSCAR format:
```
Sr2HfTcN6
1.0
5.764 0.000 0.000
2.876 4.995 0.000
2.875 1.665 4.720
Hf N Sr Tc
1 6 2 1
Cartesian
1.438 2.498 0.000
2.948 1.629 1.203
7.209 4.219 1.234
5.722 1.626 1.239
5.792 5.034 3.480
4.305 2.440 3.485
8.565 5.031 3.517
4.312 4.165 1.183
7.201 2.495 3.537
4.319 0.832 2.360
```

=====

[18]
Material: NdGePO
Method: DFT, PBE
State: relaxed

Results
offset from the most stable computed form: 0.0 meV per atom
total DFT energy (no corrections): -50.8 eV per cell

The structure in POSCAR format:
```
NdGePO
1.0
4.187 0.000 0.000
0.000 4.187 0.000
0.000 0.000 8.863
Ge Nd O P
2 2 2 2
Cartesian
0.000 0.000 4.431
2.093 2.093 4.431
0.000 2.093 1.106
2.093 0.000 7.757
0.000 0.000 0.000
2.093 2.093 0.000
2.093 0.000 2.861
0.000 2.093 6.002
```

=====

[19]
Material: K2Er4Cu4Se9
Method: DFT, PBE
State: relaxed

Results
total DFT energy (no corrections): -91.2 eV per cell

The structure in POSCAR format:
```
K2Er4Cu4Se9
1.0
-0.578 -5.002 5.465
-2.500 -6.630 2.238
14.450 -2.122 -7.535
Cu Er K Se
4 4 2 9
Cartesian
2.567 -3.283 0.128
5.037 -7.696 0.883
6.334 -6.059 -0.715
8.804 -10.471 0.040
-1.200 -7.738 4.619
3.366 -9.778 2.929
8.005 -3.976 -2.761
12.571 -6.016 -4.451
0.351 -11.736 5.713
11.021 -2.018 -5.545
0.000 0.000 0.000
0.566 -3.713 1.536
1.237 -7.968 3.284
4.141 -5.349 0.233
5.683 -2.486 -2.130
5.689 -11.268 2.298
7.231 -8.405 -0.065
10.134 -5.786 -3.116
10.806 -10.042 -1.368
```

=====

[20]
Material: La2PrSe3
Method: DFT, PBE
State: relaxed

Results
total DFT energy (no corrections): -36.8 eV per cell

The structure in POSCAR format:
```
La2PrSe3
1.0
4.297 0.000 0.000
-2.148 3.721 0.000
0.000 0.000 10.527
La Pr Se
2 1 3
Cartesian
0.000 2.481 1.774
2.148 1.240 8.753
0.000 0.000 5.263
0.000 0.000 0.000
2.148 1.240 3.534
0.000 2.481 6.993
```

=====

[21]
Material: LiLaCoTe3
Method: DFT, PBE
State: relaxed

Results
total DFT energy (no corrections): -56.0 eV per cell

The structure in POSCAR format:
```
LiLaCoTe3
1.0
4.225 0.000 0.000
2.112 6.801 0.000
0.000 0.000 12.051
Co La Li Te
2 2 2 6
Cartesian
4.225 6.395 3.013
2.112 0.407 9.038
0.000 0.000 0.000
0.000 0.000 6.025
2.112 4.292 3.013
4.225 2.509 9.038
4.225 4.680 1.075
4.225 1.051 3.013
4.225 4.680 4.951
2.112 2.122 7.100
2.112 5.750 9.038
2.112 2.122 10.976
```

=====

[22]
Material: HoAlCu
Method: DFT, PBE
State: relaxed

Results
total DFT energy (no corrections): -10.8 eV per cell

The structure in POSCAR format:
```
HoAlCu
1.0
0.000 3.285 3.285
3.285 0.000 3.285
3.285 3.285 0.000
Al Cu Ho
1 1 1
Cartesian
3.285 3.285 3.285
0.000 0.000 0.000
1.643 1.643 1.643
```

=====

[23]
Material: Zr3Bi2As2Pd4
Method: DFT, PBE
State: relaxed

Results
total DFT energy (no corrections): -70.4 eV per cell

The structure in POSCAR format:
```
Zr3Bi2As2Pd4
1.0
-3.131 3.131 6.428
3.131 -3.131 6.428
3.131 3.131 -6.428
As Bi Pd Zr
2 2 4 3
Cartesian
0.000 0.000 3.166
0.000 0.000 9.691
0.000 3.131 0.000
3.131 0.000 0.000
-1.513 1.513 8.175
1.513 -1.513 8.175
1.513 1.513 4.681
1.618 1.618 -1.747
0.000 0.000 6.428
0.000 3.131 3.214
3.131 0.000 3.214
```

=====

[24]
Material: LiInFeRe
Method: DFT, PBE
State: relaxed

Results
offset from the most stable computed form: 0.0 meV per atom
total DFT energy (no corrections): -24.3 eV per cell

The structure in POSCAR format:
```
LiInFeRe
1.0
2.182 -1.830 3.166
-1.270 -3.748 1.573
2.294 -3.510 -0.745
Fe In Li Re
1 1 1 1
Cartesian
2.404 -6.816 2.996
0.000 0.000 0.000
0.801 -2.272 0.999
1.603 -4.544 1.997
```

=====

[25]
Material: Ba2Lu2O
Method: DFT, PBE
State: relaxed

Results
total DFT energy (no corrections): -44.3 eV per cell

The structure in POSCAR format:
```
Ba2Lu2O
1.0
3.751 0.000 0.000
-1.876 3.249 0.000
0.000 0.000 26.830
Ba Lu O
4 4 2
Cartesian
1.876 1.083 3.190
1.876 1.083 10.225
0.000 2.166 16.605
0.000 2.166 23.640
0.000 0.000 0.000
0.000 2.166 6.707
0.000 0.000 13.415
1.876 1.083 20.122
0.000 0.000 6.707
0.000 0.000 20.122
```